A plane-wave DFT calculation with PBE was carried out for crystalline La4Sm6Y at its relaxed geometry.

Structure (CIF):
```
data_La4Sm6Y
_cell_length_a 6.9026
_cell_length_b 6.9026
_cell_length_c 16.7127
_cell_angle_alpha 90.00
_cell_angle_beta 90.00
_cell_angle_gamma 90.00
_symmetry_space_group_name_H-M 'I -4 2 m'
_symmetry_Int_Tables_number 121
_symmetry_space_group_name_Hall 'I -4 2'
loop_
_atom_site_label
_atom_site_fract_x
_atom_site_fract_y
_atom_site_fract_z
_atom_site_occupancy
La1 0.1893 0.1893 0.3204 1
Sm1 0.0000 0.5000 0.0000 1
Sm2 0.1698 0.1698 0.1130 1
Y1 0.0000 0.0000 0.5000 1
```

* E above lowest polymorph: 0.0 kJ/mol of atoms
* crystal system: tetragonal
* energy of formation from the pure elements: 3.03 eV/f.u.

---

A plane-wave DFT calculation with PBE was carried out for crystalline LaSm5Y4 at its relaxed geometry.

Structure (CIF):
```
data_LaSm5Y4
_cell_length_a 10.3263
_cell_length_b 10.3263
_cell_length_c 6.3472
_cell_angle_alpha 90.00
_cell_angle_beta 90.00
_cell_angle_gamma 90.00
_symmetry_space_group_name_H-M 'I 4'
_symmetry_Int_Tables_number 79
loop_
_symmetry_equiv_pos_as_xyz
'x,y,z'
'-y,x,z'
'-x,-y,z'
'y,-x,z'
'x+1/2,y+1/2,z+1/2'
'-y+1/2,x+1/2,z+1/2'
'-x+1/2,-y+1/2,z+1/2'
'y+1/2,-x+1/2,z+1/2'
loop_
_atom_site_label
_atom_site_fract_x
_atom_site_fract_y
_atom_site_fract_z
_atom_site_occupancy
La1 0.0000 0.0000 0.0000 1
Sm1 0.0000 0.0000 0.5413 1
Sm2 0.1495 0.2276 0.2718 1
Y1 0.0436 0.3448 0.7660 1
```

* E above lowest polymorph: 13.0 kJ/mol of atoms
* crystal system: tetragonal
* energy of formation from the pure elements: 2.77 eV/f.u.

---

A plane-wave DFT calculation with PBE was carried out for crystalline La6Sm4Y at its relaxed geometry.

Structure (CIF):
```
data_La6Sm4Y
_cell_length_a 6.7952
_cell_length_b 6.7952
_cell_length_c 16.8662
_cell_angle_alpha 90.00
_cell_angle_beta 90.00
_cell_angle_gamma 90.00
_symmetry_space_group_name_H-M 'I -4 2 m'
_symmetry_Int_Tables_number 121
_symmetry_space_group_name_Hall 'I -4 2'
loop_
_atom_site_label
_atom_site_fract_x
_atom_site_fract_y
_atom_site_fract_z
_atom_site_occupancy
La1 0.0000 0.5000 0.0000 1
La2 0.1600 0.1600 0.3807 1
Sm1 0.1805 0.1805 0.1842 1
Y1 0.0000 0.0000 0.0000 1
```

* E above lowest polymorph: 0.0 kJ/mol of atoms
* crystal system: tetragonal
* energy of formation from the pure elements: 2.74 eV/f.u.

---

A plane-wave DFT calculation with PBE was carried out for crystalline La3Sm2Y at its relaxed geometry.

Structure (CIF):
```
data_La3Sm2Y
_cell_length_a 11.2764
_cell_length_b 12.0186
_cell_length_c 7.0743
_cell_angle_alpha 90.00
_cell_angle_beta 90.00
_cell_angle_gamma 90.00
_symmetry_space_group_name_H-M 'I b a m'
_symmetry_Int_Tables_number 72
_symmetry_space_group_name_Hall '-I 2 2c'
loop_
_atom_site_label
_atom_site_fract_x
_atom_site_fract_y
_atom_site_fract_z
_atom_site_occupancy
La1 0.0000 0.0000 0.2500 1
La2 0.0000 0.2607 0.2500 1
Sm1 0.2471 0.2017 0.0000 1
Y1 0.0000 0.5000 0.0000 1
```

* E above lowest polymorph: 29.6 kJ/mol of atoms
* crystal system: orthorhombic
* energy of formation from the pure elements: 3.24 eV/f.u.

---

A plane-wave DFT calculation with PBE was carried out for crystalline La2SmY7 at its relaxed geometry.

Structure (CIF):
```
data_La2SmY7
_cell_length_a 6.2536
_cell_length_b 7.2198
_cell_length_c 8.0774
_cell_angle_alpha 77.30
_cell_angle_beta 75.06
_cell_angle_gamma 73.56
_symmetry_space_group_name_H-M 'P -1'
_symmetry_Int_Tables_number 2
loop_
_symmetry_equiv_pos_as_xyz
'x,y,z'
'-x,-y,-z'
loop_
_atom_site_label
_atom_site_fract_x
_atom_site_fract_y
_atom_site_fract_z
_atom_site_occupancy
La1 0.1974 0.2992 0.1024 1
Sm1 0.0000 0.0000 0.5000 1
Y1 0.0000 0.5000 0.5000 1
Y2 0.1986 0.7997 0.1026 1
Y3 0.3987 0.6008 0.6980 1
Y4 0.3996 0.1007 0.6973 1
```

* E above lowest polymorph: 0.0 kJ/mol of atoms
* crystal system: triclinic
* energy of formation from the pure elements: 0.23 eV/f.u.

---

A plane-wave DFT calculation with PBE was carried out for crystalline La5SmY2 at its relaxed geometry.

Structure (CIF):
```
data_La5SmY2
_cell_length_a 5.7162
_cell_length_b 12.1664
_cell_length_c 16.6009
_cell_angle_alpha 90.00
_cell_angle_beta 90.00
_cell_angle_gamma 90.00
_symmetry_space_group_name_H-M 'C m c m'
_symmetry_Int_Tables_number 63
_symmetry_space_group_name_Hall '-C 2c 2'
loop_
_atom_site_label
_atom_site_fract_x
_atom_site_fract_y
_atom_site_fract_z
_atom_site_occupancy
La1 0.0000 0.0295 0.2500 1
La2 0.0000 0.1135 0.5521 1
La3 0.0000 0.4227 0.5933 1
Sm1 0.0000 0.2504 0.7500 1
Y1 0.0000 0.2747 0.1354 1
```

* crystal system: orthorhombic
* energy of formation from the pure elements: 0.90 eV/f.u.